VASP calculation (PBEsol) on a relaxed structure of Nb3TlSi.

symmetry	Pm-3m
ΔE_f (raw)	0.6155	eV per atom
energy	-7.55	eV/atom
D(E_F)	8.35	states/eV/cell

abc: 4.663 4.663 4.663
angles: 90.00 90.00 90.00
Element x y z (fractional)
1 Tl 0.500 0.500 0.500
2 Si 0.000 0.000 0.000
3 Nb 0.000 0.500 0.000
4 Nb 0.000 0.000 0.500
5 Nb 0.500 0.000 0.000